# YSc2Tc2 (GGA-PBE, relaxed)
# Total magnetic moment   0.04 μB/f.u.
# Formation energy from the elements   0.10 eV/atom
# Final energy   -7.870 eV per atom
data_YSc2Tc2
_cell_length_a 4.242
_cell_length_b 4.242
_cell_length_c 11.869
_cell_angle_alpha 90.00
_cell_angle_beta 90.00
_cell_angle_gamma 90.00
_symmetry_space_group_name_H-M 'I 4/m m m'
_symmetry_Int_Tables_number 139
_symmetry_space_group_name_Hall '-I 4 2'
loop_
_atom_site_label
_atom_site_type_symbol
_atom_site_fract_x
_atom_site_fract_y
_atom_site_fract_z
Y1 Y 0.000 0.000 0.000
Sc1 Sc 0.000 0.500 0.250
Tc1 Tc 0.000 0.000 0.402



# Tm2Zr (GGA-PBE, relaxed)
# Energy above the lowest structure with this stoichiometry   0 meV per atom
# Total magnetic moment   0.02 μB/f.u.
# Formation energy from the elements   0.08 eV/atom
# Final energy   -5.756 eV per atom
data_Tm2Zr
_cell_length_a 4.792
_cell_length_b 14.412
_cell_length_c 4.748
_cell_angle_alpha 90.00
_cell_angle_beta 90.00
_cell_angle_gamma 90.00
_symmetry_space_group_name_H-M 'C m c m'
_symmetry_Int_Tables_number 63
_symmetry_space_group_name_Hall '-C 2c 2'
loop_
_atom_site_label
_atom_site_type_symbol
_atom_site_fract_x
_atom_site_fract_y
_atom_site_fract_z
Tm1 Tm 0.000 0.079 0.250
Tm2 Tm 0.000 0.249 0.750
Zr1 Zr 0.000 0.423 0.250



Please write out number 2 again, unchanged.
# Tm2Zr (GGA-PBE, relaxed)
# Energy above the lowest structure with this stoichiometry   0 meV per atom
# Total magnetic moment   0.02 μB/f.u.
# Formation energy from the elements   0.08 eV/atom
# Final energy   -5.756 eV per atom
data_Tm2Zr
_cell_length_a 4.792
_cell_length_b 14.412
_cell_length_c 4.748
_cell_angle_alpha 90.00
_cell_angle_beta 90.00
_cell_angle_gamma 90.00
_symmetry_space_group_name_H-M 'C m c m'
_symmetry_Int_Tables_number 63
_symmetry_space_group_name_Hall '-C 2c 2'
loop_
_atom_site_label
_atom_site_type_symbol
_atom_site_fract_x
_atom_site_fract_y
_atom_site_fract_z
Tm1 Tm 0.000 0.079 0.250
Tm2 Tm 0.000 0.249 0.750
Zr1 Zr 0.000 0.423 0.250



> Among the records above, which one has the highest formation energy from the elements?

YSc2Tc2



Repeat the first record exactly.
# YSc2Tc2 (GGA-PBE, relaxed)
# Total magnetic moment   0.04 μB/f.u.
# Formation energy from the elements   0.10 eV/atom
# Final energy   -7.870 eV per atom
data_YSc2Tc2
_cell_length_a 4.242
_cell_length_b 4.242
_cell_length_c 11.869
_cell_angle_alpha 90.00
_cell_angle_beta 90.00
_cell_angle_gamma 90.00
_symmetry_space_group_name_H-M 'I 4/m m m'
_symmetry_Int_Tables_number 139
_symmetry_space_group_name_Hall '-I 4 2'
loop_
_atom_site_label
_atom_site_type_symbol
_atom_site_fract_x
_atom_site_fract_y
_atom_site_fract_z
Y1 Y 0.000 0.000 0.000
Sc1 Sc 0.000 0.500 0.250
Tc1 Tc 0.000 0.000 0.402



What did the second record say?
# Tm2Zr (GGA-PBE, relaxed)
# Energy above the lowest structure with this stoichiometry   0 meV per atom
# Total magnetic moment   0.02 μB/f.u.
# Formation energy from the elements   0.08 eV/atom
# Final energy   -5.756 eV per atom
data_Tm2Zr
_cell_length_a 4.792
_cell_length_b 14.412
_cell_length_c 4.748
_cell_angle_alpha 90.00
_cell_angle_beta 90.00
_cell_angle_gamma 90.00
_symmetry_space_group_name_H-M 'C m c m'
_symmetry_Int_Tables_number 63
_symmetry_space_group_name_Hall '-C 2c 2'
loop_
_atom_site_label
_atom_site_type_symbol
_atom_site_fract_x
_atom_site_fract_y
_atom_site_fract_z
Tm1 Tm 0.000 0.079 0.250
Tm2 Tm 0.000 0.249 0.750
Zr1 Zr 0.000 0.423 0.250